(1)
# LaMo2Pb | Alexandria via LeMat-Bulk | PBE-GGA | relaxed
data_LaMo2Pb
_chemical_formula_sum 'La1 Mo2 Pb1'
_space_group_name_H-M_alt 'P 1'
_space_group_IT_number 1
_space_group_name_Hall 'P 1'
_cell_length_a 3.197
_cell_length_b 3.197
_cell_length_c 9.220
_cell_angle_alpha 90.00
_cell_angle_beta 90.00
_cell_angle_gamma 116.33
loop_
_atom_site_label
_atom_site_type_symbol
_atom_site_fract_x
_atom_site_fract_y
_atom_site_fract_z
_atom_site_occupancy
Pb1 Pb 0.500 0.500 0.250 1
Mo1 Mo 0.000 0.000 0.002 1
Mo2 Mo 0.000 0.000 0.498 1
La1 La 0.500 0.500 0.750 1
# formation energy from the elements	0.796	eV/atom
# density of states at the Fermi level	1.0928	states/eV per atom


(2)
# LaMo4Pb | Alexandria via LeMat-Bulk | PBE-GGA | relaxed
data_LaMo4Pb
_chemical_formula_sum 'La1 Mo4 Pb1'
_space_group_name_H-M_alt 'P 1'
_space_group_IT_number 1
_space_group_name_Hall 'P 1'
_cell_length_a 5.544
_cell_length_b 5.544
_cell_length_c 5.544
_cell_angle_alpha 60.00
_cell_angle_beta 60.00
_cell_angle_gamma 60.00
loop_
_atom_site_label
_atom_site_type_symbol
_atom_site_fract_x
_atom_site_fract_y
_atom_site_fract_z
_atom_site_occupancy
Mo1 Mo 0.375 0.375 0.874 1
Mo2 Mo 0.375 0.874 0.375 1
Mo3 Mo 0.874 0.375 0.375 1
Mo4 Mo 0.375 0.375 0.375 1
La1 La 0.000 0.000 0.000 1
Pb1 Pb 0.750 0.750 0.750 1
# formation energy from the elements	0.421	eV/atom
# density of states at the Fermi level	1.2148	states/eV per atom


(3)
# LaMo2Pb | Alexandria via LeMat-Bulk | PBE-GGA | relaxed
data_LaMo2Pb
_chemical_formula_sum 'La1 Mo2 Pb1'
_space_group_name_H-M_alt 'P 1'
_space_group_IT_number 1
_space_group_name_Hall 'P 1'
_cell_length_a 5.041
_cell_length_b 3.357
_cell_length_c 5.698
_cell_angle_alpha 89.66
_cell_angle_beta 90.00
_cell_angle_gamma 90.00
loop_
_atom_site_label
_atom_site_type_symbol
_atom_site_fract_x
_atom_site_fract_y
_atom_site_fract_z
_atom_site_occupancy
Mo1 Mo 0.000 0.429 0.572 1
Mo2 Mo 0.000 0.071 0.928 1
La1 La 0.500 0.750 0.750 1
Pb1 Pb 0.500 0.250 0.250 1
# formation energy from the elements	0.566	eV/atom
# density of states at the Fermi level	0.8682	states/eV per atom


(4)
# LaMo2Pb | Alexandria via LeMat-Bulk | PBE-GGA | relaxed
data_LaMo2Pb
_chemical_formula_sum 'La1 Mo2 Pb1'
_space_group_name_H-M_alt 'P 1'
_space_group_IT_number 1
_space_group_name_Hall 'P 1'
_cell_length_a 5.569
_cell_length_b 5.569
_cell_length_c 2.952
_cell_angle_alpha 90.00
_cell_angle_beta 90.00
_cell_angle_gamma 109.19
loop_
_atom_site_label
_atom_site_type_symbol
_atom_site_fract_x
_atom_site_fract_y
_atom_site_fract_z
_atom_site_occupancy
Mo1 Mo 0.000 0.000 0.000 1
Mo2 Mo 0.500 0.500 0.000 1
Pb1 Pb 0.500 0.000 0.500 1
La1 La 0.000 0.500 0.500 1
# formation energy from the elements	0.850	eV/atom
# density of states at the Fermi level	1.1811	states/eV per atom


(5)
# LaMo2Pb | Alexandria via LeMat-Bulk | PBE-GGA | relaxed
data_LaMo2Pb
_chemical_formula_sum 'La1 Mo2 Pb1'
_space_group_name_H-M_alt 'P 1'
_space_group_IT_number 1
_space_group_name_Hall 'P 1'
_cell_length_a 3.769
_cell_length_b 4.735
_cell_length_c 4.735
_cell_angle_alpha 90.00
_cell_angle_beta 90.00
_cell_angle_gamma 90.00
loop_
_atom_site_label
_atom_site_type_symbol
_atom_site_fract_x
_atom_site_fract_y
_atom_site_fract_z
_atom_site_occupancy
Pb1 Pb 0.500 0.500 0.000 1
Mo1 Mo 0.000 0.500 0.500 1
Mo2 Mo 0.000 0.000 0.000 1
La1 La 0.500 0.000 0.500 1
# formation energy from the elements	0.652	eV/atom
# density of states at the Fermi level	1.4045	states/eV per atom


(6)
# RbLaMoPb2 | Alexandria via LeMat-Bulk | PBE-GGA | relaxed
data_RbLaMoPb2
_chemical_formula_sum 'Rb1 La1 Mo1 Pb2'
_space_group_name_H-M_alt 'P 1'
_space_group_IT_number 1
_space_group_name_Hall 'P 1'
_cell_length_a 5.468
_cell_length_b 5.497
_cell_length_c 5.468
_cell_angle_alpha 90.00
_cell_angle_beta 90.00
_cell_angle_gamma 90.00
loop_
_atom_site_label
_atom_site_type_symbol
_atom_site_fract_x
_atom_site_fract_y
_atom_site_fract_z
_atom_site_occupancy
Mo1 Mo 0.000 0.000 0.000 1
Pb1 Pb 0.000 0.000 0.500 1
Pb2 Pb 0.500 0.000 0.000 1
La1 La 0.500 0.500 0.500 1
Rb1 Rb 0.000 0.500 0.000 1
# formation energy from the elements	0.726	eV/atom
# density of states at the Fermi level	0.7758	states/eV per atom


(7)
# La2MoRuPb | Alexandria via LeMat-Bulk | PBE-GGA | relaxed
data_La2MoRuPb
_chemical_formula_sum 'La2 Mo1 Ru1 Pb1'
_space_group_name_H-M_alt 'P 1'
_space_group_IT_number 1
_space_group_name_Hall 'P 1'
_cell_length_a 5.536
_cell_length_b 4.747
_cell_length_c 5.536
_cell_angle_alpha 90.00
_cell_angle_beta 90.00
_cell_angle_gamma 90.00
loop_
_atom_site_label
_atom_site_type_symbol
_atom_site_fract_x
_atom_site_fract_y
_atom_site_fract_z
_atom_site_occupancy
Pb1 Pb 0.500 0.500 0.500 1
Ru1 Ru 0.000 0.000 0.000 1
La1 La 0.000 0.000 0.500 1
La2 La 0.500 0.000 0.000 1
Mo1 Mo 0.000 0.500 0.000 1
# formation energy from the elements	0.199	eV/atom
# density of states at the Fermi level	1.0949	states/eV per atom


(8)
# LaMo12PbSe16 | Alexandria via LeMat-Bulk | PBE-GGA | relaxed
data_LaMo12PbSe16
_chemical_formula_sum 'La1 Mo12 Pb1 Se16'
_space_group_name_H-M_alt 'P 1'
_space_group_IT_number 1
_space_group_name_Hall 'P 1'
_cell_length_a 9.796
_cell_length_b 9.796
_cell_length_c 9.796
_cell_angle_alpha 58.72
_cell_angle_beta 58.72
_cell_angle_gamma 58.72
loop_
_atom_site_label
_atom_site_type_symbol
_atom_site_fract_x
_atom_site_fract_y
_atom_site_fract_z
_atom_site_occupancy
Se1 Se 0.504 0.247 0.874 1
Se2 Se 0.002 0.745 0.376 1
Se3 Se 0.998 0.255 0.624 1
Se4 Se 0.126 0.496 0.753 1
Se5 Se 0.874 0.504 0.247 1
Se6 Se 0.255 0.624 0.998 1
Se7 Se 0.247 0.874 0.504 1
Se8 Se 0.122 0.122 0.122 1
Se9 Se 0.878 0.878 0.878 1
Se10 Se 0.379 0.379 0.379 1
Se11 Se 0.624 0.998 0.255 1
Se12 Se 0.621 0.621 0.621 1
Se13 Se 0.376 0.002 0.745 1
Se14 Se 0.745 0.376 0.002 1
Se15 Se 0.496 0.753 0.126 1
Se16 Se 0.753 0.126 0.496 1
Mo1 Mo 0.450 0.312 0.128 1
Mo2 Mo 0.188 0.373 0.050 1
Mo3 Mo 0.872 0.550 0.688 1
Mo4 Mo 0.050 0.188 0.373 1
Mo5 Mo 0.627 0.950 0.812 1
Mo6 Mo 0.312 0.128 0.450 1
Mo7 Mo 0.550 0.688 0.872 1
Mo8 Mo 0.812 0.627 0.950 1
Mo9 Mo 0.950 0.812 0.627 1
Mo10 Mo 0.128 0.450 0.312 1
Mo11 Mo 0.373 0.050 0.188 1
Mo12 Mo 0.688 0.872 0.550 1
La1 La 0.500 0.500 0.500 1
Pb1 Pb 0.000 0.000 0.000 1
# density of states at the Fermi level	0.5449	states/eV per atom
# energy relative to the elements, uncorrected	-638	meV per atom


(9)
# LaZrMo2Pb | Alexandria via LeMat-Bulk | PBE-GGA | relaxed
data_LaZrMo2Pb
_chemical_formula_sum 'La1 Zr1 Mo2 Pb1'
_space_group_name_H-M_alt 'P 1'
_space_group_IT_number 1
_space_group_name_Hall 'P 1'
_cell_length_a 4.914
_cell_length_b 5.593
_cell_length_c 4.914
_cell_angle_alpha 90.00
_cell_angle_beta 90.00
_cell_angle_gamma 90.00
loop_
_atom_site_label
_atom_site_type_symbol
_atom_site_fract_x
_atom_site_fract_y
_atom_site_fract_z
_atom_site_occupancy
Pb1 Pb 0.000 0.500 0.000 1
Mo1 Mo 0.000 0.000 0.500 1
Mo2 Mo 0.500 0.000 0.000 1
La1 La 0.500 0.500 0.500 1
Zr1 Zr 0.000 0.000 0.000 1
# formation energy from the elements	1.062	eV/atom
# density of states at the Fermi level	1.3738	states/eV per atom


(10)
# La3MoPd | Alexandria via LeMat-Bulk | PBE-GGA | relaxed
data_La3MoPd
_chemical_formula_sum 'La3 Mo1 Pd1'
_space_group_name_H-M_alt 'P 1'
_space_group_IT_number 1
_space_group_name_Hall 'P 1'
_cell_length_a 5.437
_cell_length_b 5.437
_cell_length_c 5.437
_cell_angle_alpha 90.00
_cell_angle_beta 90.00
_cell_angle_gamma 90.00
loop_
_atom_site_label
_atom_site_type_symbol
_atom_site_fract_x
_atom_site_fract_y
_atom_site_fract_z
_atom_site_occupancy
La1 La 0.500 0.000 0.000 1
La2 La 0.000 0.000 0.500 1
La3 La 0.000 0.500 0.000 1
Mo1 Mo 0.000 0.000 0.000 1
Pd1 Pd 0.500 0.500 0.500 1
# formation energy from the elements	0.228	eV/atom
# E above lowest polymorph	0	meV per atom
# density of states at the Fermi level	1.2377	states/eV per atom


(11)
# LaMoPd3 | Alexandria via LeMat-Bulk | PBE-GGA | relaxed
data_LaMoPd3
_chemical_formula_sum 'La1 Mo1 Pd3'
_space_group_name_H-M_alt 'P 1'
_space_group_IT_number 1
_space_group_name_Hall 'P 1'
_cell_length_a 5.034
_cell_length_b 5.034
_cell_length_c 5.034
_cell_angle_alpha 90.00
_cell_angle_beta 90.00
_cell_angle_gamma 90.00
loop_
_atom_site_label
_atom_site_type_symbol
_atom_site_fract_x
_atom_site_fract_y
_atom_site_fract_z
_atom_site_occupancy
Pd1 Pd 0.000 0.500 0.000 1
Pd2 Pd 0.500 0.000 0.000 1
Pd3 Pd 0.000 0.000 0.500 1
Mo1 Mo 0.500 0.500 0.500 1
La1 La 0.000 0.000 0.000 1
# formation energy from the elements	1.394	eV/atom
# E above lowest polymorph	1172	meV per atom
# density of states at the Fermi level	1.9414	states/eV per atom


(12)
# LaMoPd2 | Alexandria via LeMat-Bulk | PBE-GGA | relaxed
data_LaMoPd2
_chemical_formula_sum 'La1 Mo1 Pd2'
_space_group_name_H-M_alt 'P 1'
_space_group_IT_number 1
_space_group_name_Hall 'P 1'
_cell_length_a 4.887
_cell_length_b 4.887
_cell_length_c 4.887
_cell_angle_alpha 60.00
_cell_angle_beta 60.00
_cell_angle_gamma 60.00
loop_
_atom_site_label
_atom_site_type_symbol
_atom_site_fract_x
_atom_site_fract_y
_atom_site_fract_z
_atom_site_occupancy
Mo1 Mo 0.000 0.000 0.000 1
Pd1 Pd 0.250 0.250 0.250 1
Pd2 Pd 0.750 0.750 0.750 1
La1 La 0.500 0.500 0.500 1
# formation energy from the elements	0.024	eV/atom
# E above lowest polymorph	0	meV per atom
# density of states at the Fermi level	0.7541	states/eV per atom


(13)
# La2Mo2Pd | Alexandria via LeMat-Bulk | PBE-GGA | relaxed
data_La2Mo2Pd
_chemical_formula_sum 'La4 Mo4 Pd2'
_space_group_name_H-M_alt 'P 1'
_space_group_IT_number 1
_space_group_name_Hall 'P 1'
_cell_length_a 8.637
_cell_length_b 8.637
_cell_length_c 3.343
_cell_angle_alpha 90.00
_cell_angle_beta 90.00
_cell_angle_gamma 90.00
loop_
_atom_site_label
_atom_site_type_symbol
_atom_site_fract_x
_atom_site_fract_y
_atom_site_fract_z
_atom_site_occupancy
Mo1 Mo 0.091 0.591 0.500 1
Mo2 Mo 0.409 0.091 0.500 1
Mo3 Mo 0.591 0.909 0.500 1
Mo4 Mo 0.909 0.409 0.500 1
La1 La 0.701 0.201 0.000 1
La2 La 0.201 0.299 0.000 1
La3 La 0.799 0.701 0.000 1
La4 La 0.299 0.799 0.000 1
Pd1 Pd 0.500 0.500 0.000 1
Pd2 Pd 0.000 0.000 0.000 1
# formation energy from the elements	0.599	eV/atom
# E above lowest polymorph	527	meV per atom
# density of states at the Fermi level	1.1647	states/eV per atom


(14)
# LaMoPd2 | Alexandria via LeMat-Bulk | PBE-GGA | relaxed
data_LaMoPd2
_chemical_formula_sum 'La2 Mo2 Pd4'
_space_group_name_H-M_alt 'P 1'
_space_group_IT_number 1
_space_group_name_Hall 'P 1'
_cell_length_a 4.783
_cell_length_b 4.783
_cell_length_c 9.214
_cell_angle_alpha 74.96
_cell_angle_beta 74.96
_cell_angle_gamma 90.00
loop_
_atom_site_label
_atom_site_type_symbol
_atom_site_fract_x
_atom_site_fract_y
_atom_site_fract_z
_atom_site_occupancy
La1 La 0.000 0.000 0.000 1
La2 La 0.750 0.250 0.500 1
Pd1 Pd 0.249 0.625 0.250 1
Pd2 Pd 0.375 0.499 0.750 1
Pd3 Pd 0.501 0.125 0.250 1
Pd4 Pd 0.875 0.751 0.750 1
Mo1 Mo 0.250 0.750 0.500 1
Mo2 Mo 0.500 0.500 0.000 1
# formation energy from the elements	0.365	eV/atom
# E above lowest polymorph	341	meV per atom
# density of states at the Fermi level	0.8789	states/eV per atom